Entry 1:
CuSe2Br | PBE-GGA | relaxed

Cell: 4.114 4.114 7.937 Å, 90.00 90.00 129.42°
Element x y z (fractional)
Cu: 0.500 0.500 0.758
Se: 0.000 0.000 0.979
Se: 0.500 0.500 0.210
Br: 0.000 0.000 0.554

Results
Formation energy (no corrections) in eV/atom: 0.15
Symmetry: No. 35
VASP energy in eV/atom: -3.039

---

Entry 2:
CuSe2Br | PBE-GGA | relaxed

Cell: 4.845 4.845 4.845 Å, 60.00 60.00 60.00°
Element x y z (fractional)
Br: 0.500 0.500 0.500
Cu: 0.250 0.250 0.250
Se: 0.750 0.750 0.750
Se: 0.000 0.000 0.000

Results
Formation energy (no corrections) in eV/atom: 0.62
Symmetry: No. 216
VASP energy in eV/atom: -2.564

---

Entry 3:
Cu4Se3Br | PBE-GGA | relaxed

Cell: 6.600 6.785 7.736 Å, 90.00 90.00 90.00°
Element x y z (fractional)
Cu: 0.102 0.841 0.500
Cu: 0.640 0.190 0.500
Cu: 0.141 0.343 0.738
Cu: 0.641 0.657 0.762
Cu: 0.140 0.810 0.000
Cu: 0.141 0.343 0.262
Cu: 0.602 0.159 0.000
Cu: 0.641 0.657 0.238
Se: 0.998 0.664 0.251
Se: 0.498 0.336 0.249
Se: 0.498 0.826 0.000
Se: 0.998 0.664 0.749
Se: 0.498 0.336 0.751
Se: 0.998 0.174 0.500
Br: 0.496 0.841 0.500
Br: 0.996 0.159 0.000

Results
Formation energy (no corrections) in eV/atom: -0.16
Symmetry: No. 31
VASP energy in eV/atom: -3.724

---

Entry 4:
CuSe2Br | PBE-GGA | relaxed

Cell: 7.380 7.380 4.211 Å, 90.00 90.00 143.41°
Element x y z (fractional)
Se: 0.500 0.500 0.000
Se: 0.000 0.000 0.000
Cu: 0.000 0.500 0.500
Br: 0.500 0.000 0.500

Results
Formation energy (no corrections) in eV/atom: 0.36
Symmetry: No. 65
VASP energy in eV/atom: -2.829

---

Entry 5:
Cu3SeBr2 | PBE-GGA | relaxed

Cell: 3.890 5.798 6.988 Å, 114.51 106.16 90.00°
Element x y z (fractional)
Br: 0.168 0.922 0.337
Br: 0.832 0.585 0.663
Cu: 0.000 0.019 0.000
Cu: 0.655 0.640 0.310
Cu: 0.345 0.330 0.690
Se: 0.500 0.248 0.000

Results
Formation energy (no corrections) in eV/atom: -0.22
Symmetry: No. 44
VASP energy in eV/atom: -3.404

---

Entry 6:
CuSe2Br | PBE-GGA | relaxed

Cell: 3.623 3.623 8.184 Å, 90.00 90.00 90.00°
Element x y z (fractional)
Br: 0.000 0.000 0.639
Se: 0.500 0.500 0.023
Se: 0.000 0.000 0.110
Cu: 0.500 0.500 0.727

Results
Formation energy (no corrections) in eV/atom: -0.01
Symmetry: No. 99
VASP energy in eV/atom: -3.198

---

Entry 7:
CuSe2Br | PBE-GGA | relaxed

Cell: 7.982 7.982 7.982 Å, 27.65 27.65 27.65°
Element x y z (fractional)
Se: 0.114 0.114 0.114
Se: 0.886 0.886 0.886
Cu: 0.500 0.500 0.500
Br: 0.000 0.000 0.000

Results
Formation energy (no corrections) in eV/atom: -0.02
Symmetry: No. 166
VASP energy in eV/atom: -3.201

---

Entry 8:
Cu2SeBr3 | PBE-GGA | relaxed

Cell: 3.904 7.261 15.758 Å, 55.69 90.00 105.60°
Element x y z (fractional)
Br: 0.818 0.636 0.845
Br: 0.395 0.791 0.454
Br: 0.182 0.364 0.155
Br: 0.847 0.693 0.252
Br: 0.605 0.209 0.546
Br: 0.153 0.307 0.748
Se: 0.582 0.165 0.003
Se: 0.418 0.835 0.997
Cu: 0.049 0.099 0.108
Cu: 0.951 0.901 0.892
Cu: 0.173 0.345 0.589
Cu: 0.827 0.655 0.411

Results
Formation energy (no corrections) in eV/atom: -0.22
Symmetry: No. 12
VASP energy in eV/atom: -3.004

---

Entry 9:
Cu4SeBr | PBE-GGA | relaxed

Cell: 5.111 5.111 5.111 Å, 60.00 60.00 60.00°
Element x y z (fractional)
Cu: 0.375 0.874 0.375
Cu: 0.874 0.375 0.375
Cu: 0.375 0.375 0.874
Cu: 0.375 0.375 0.375
Br: 0.000 0.000 0.000
Se: 0.750 0.750 0.750

Results
Formation energy (no corrections) in eV/atom: 0.39
Symmetry: No. 216
VASP energy in eV/atom: -3.203

---

Entry 10:
CuSe2Br | PBE-GGA | relaxed

Cell: 6.542 6.542 6.722 Å, 60.88 60.88 90.00°
Element x y z (fractional)
Se: 0.875 0.799 0.750
Se: 0.201 0.625 0.250
Se: 0.375 0.451 0.750
Se: 0.549 0.125 0.250
Br: 0.000 0.000 0.000
Br: 0.750 0.250 0.500
Cu: 0.250 0.750 0.500
Cu: 0.500 0.500 0.000

Results
Formation energy (no corrections) in eV/atom: 0.27
Symmetry: No. 122
VASP energy in eV/atom: -2.912

---

Entry 11:
CuSe2Br | PBE-GGA | relaxed

Cell: 4.826 4.826 4.826 Å, 60.00 60.00 60.00°
Element x y z (fractional)
Se: 0.250 0.250 0.250
Se: 0.750 0.750 0.750
Cu: 0.000 0.000 0.000
Br: 0.500 0.500 0.500

Results
Formation energy (no corrections) in eV/atom: 0.71
Symmetry: No. 225
VASP energy in eV/atom: -2.470

---

Entry 12:
CuSe2Br | PBE-GGA | relaxed

Cell: 3.359 3.359 7.864 Å, 90.00 90.00 90.00°
Element x y z (fractional)
Se: 0.000 0.000 0.906
Se: 0.000 0.000 0.594
Cu: 0.500 0.500 0.750
Br: 0.500 0.500 0.250

Results
Formation energy (no corrections) in eV/atom: 0.22
Symmetry: No. 123
VASP energy in eV/atom: -2.960

---

Entry 13:
CuSe2Br2 | PBE-GGA | relaxed

Cell: 6.685 6.685 5.350 Å, 90.00 90.00 90.00°
Element x y z (fractional)
Se: 0.159 0.659 0.000
Se: 0.341 0.159 0.000
Se: 0.841 0.341 0.000
Se: 0.659 0.841 0.000
Cu: 0.500 0.500 0.000
Cu: 0.000 0.000 0.000
Br: 0.323 0.177 0.500
Br: 0.177 0.677 0.500
Br: 0.823 0.323 0.500
Br: 0.677 0.823 0.500

Results
Formation energy (no corrections) in eV/atom: 0.09
Symmetry: No. 127
VASP energy in eV/atom: -2.796

---

Entry 14:
CuSeBr4 | PBE-GGA | relaxed

Cell: 6.198 6.198 6.198 Å, 60.00 60.00 60.00°
Site moments in Bohr magnetons follow the coordinates.
Element x y z (fractional)
Se: 0.000 0.000 0.000  1.00
Br: 0.375 0.874 0.375  -0.02
Br: 0.375 0.375 0.874  -0.02
Br: 0.874 0.375 0.375  -0.02
Br: 0.375 0.375 0.375  -0.02
Cu: 0.750 0.750 0.750  0.02

Results
Formation energy (no corrections) in eV/atom: 0.99
Symmetry: No. 216
VASP energy in eV/atom: -1.388

---

Entry 15:
Cu3Se2Br | PBE-GGA | relaxed

Cell: 6.881 6.881 6.776 Å, 99.24 99.24 120.32°
Element x y z (fractional)
Cu: 0.249 0.061 0.897
Cu: 0.699 0.527 0.375
Cu: 0.883 0.406 0.877
Cu: 0.061 0.249 0.397
Cu: 0.406 0.883 0.377
Cu: 0.527 0.699 0.875
Br: 0.093 0.927 0.506
Br: 0.927 0.093 0.006
Se: 0.261 0.759 0.009
Se: 0.759 0.261 0.509
Se: 0.596 0.434 0.007
Se: 0.434 0.596 0.507

Results
Formation energy (no corrections) in eV/atom: -0.18
Symmetry: No. 9
VASP energy in eV/atom: -3.670

---

Entry 16:
CuSe4Br | PBE-GGA | relaxed

Cell: 5.865 3.994 17.019 Å, 88.53 87.71 70.60°
Element x y z (fractional)
Se: 0.092 0.755 0.084
Se: 0.288 0.122 0.367
Se: 0.072 0.726 0.431
Se: 0.700 0.853 0.883
Se: 0.300 0.147 0.117
Se: 0.908 0.245 0.916
Se: 0.712 0.878 0.633
Se: 0.928 0.274 0.569
Cu: 0.718 0.907 0.357
Cu: 0.282 0.093 0.643
Br: 0.672 0.440 0.274
Br: 0.328 0.560 0.726

Results
Formation energy (no corrections) in eV/atom: 0.03
Symmetry: No. 2
VASP energy in eV/atom: -3.259

---

Entry 17:
CuSe2Br | PBE-GGA | relaxed

Cell: 11.494 11.494 11.494 Å, 16.29 16.29 16.29°
Element x y z (fractional)
Br: 0.250 0.250 0.250
Se: 0.036 0.036 0.036
Se: 0.464 0.464 0.464
Cu: 0.750 0.750 0.750

Results
Formation energy (no corrections) in eV/atom: 0.26
Symmetry: No. 166
VASP energy in eV/atom: -2.923

---

Entry 18:
CuSe2Br | PBE-GGA | relaxed

Cell: 12.624 12.624 12.624 Å, 13.62 13.62 13.62°
Element x y z (fractional)
Se: 0.061 0.061 0.061
Se: 0.939 0.939 0.939
Cu: 0.000 0.000 0.000
Br: 0.500 0.500 0.500

Results
Formation energy (no corrections) in eV/atom: 0.26
Symmetry: No. 166
VASP energy in eV/atom: -2.929

---

Entry 19:
CuSe2Br | PBE-GGA | relaxed

Cell: 3.762 4.376 6.092 Å, 65.65 90.00 90.00°
Element x y z (fractional)
Cu: 0.500 0.750 0.750
Se: 0.000 0.968 0.896
Se: 0.000 0.532 0.604
Br: 0.500 0.250 0.250

Results
Formation energy (no corrections) in eV/atom: -0.10
Symmetry: No. 10
VASP energy in eV/atom: -3.289

---

Entry 20:
CuSe2Br | PBE-GGA | relaxed

Cell: 3.121 3.121 9.081 Å, 90.00 90.00 90.00°
Element x y z (fractional)
Cu: 0.500 0.500 0.784
Se: 0.500 0.500 0.182
Se: 0.000 0.000 0.950
Br: 0.000 0.000 0.585

Results
Formation energy (no corrections) in eV/atom: 0.42
Symmetry: No. 99
VASP energy in eV/atom: -2.769

---

What did we get for total magnetic moment? Answer: 0.00 0.00 0.00 0.00 0.00 0.00 0.00 0.01 0.00 0.00 0.00 0.00 0.00 1.47 0.00 0.00 0.01 0.00 0.00 0.00 μB per formula unit, in the order shown.